# 1
# GGA-PBE Sm2Dy4In, relaxed
data_Sm2Dy4In
_space_group_name_H-M_alt 'P m n a'
_space_group_IT_number 53
_cell_length_a 6.4904
_cell_length_b 6.2808
_cell_length_c 10.7305
_cell_angle_alpha 90.00
_cell_angle_beta 90.00
_cell_angle_gamma 90.00
loop_
_space_group_symop_operation_xyz
'x,y,z'
'-x,-y,-z'
'-x+1/2,-y,z+1/2'
'x+1/2,y,-z+1/2'
'x,-y,-z'
'-x,y,z'
'-x+1/2,y,-z+1/2'
'x+1/2,-y,z+1/2'
loop_
_atom_site_label
_atom_site_type_symbol
_atom_site_fract_x
_atom_site_fract_y
_atom_site_fract_z
Sm1 Sm 0.0000 0.2450 0.0410
Dy1 Dy 0.0000 0.0678 0.3456
Dy2 Dy 0.2500 0.4036 0.7500
In1 In 0.0000 0.5000 0.5000
# total magnetic moment = 0.000 μB per formula unit
# calculated total energy = -61.76 eV per cell
# energy above the lowest structure with this stoichiometry = 0.000 eV/atom


# 2
# GGA-PBE Sm4Dy5In, relaxed
data_Sm4Dy5In
_space_group_name_H-M_alt 'P 4/m m m'
_space_group_IT_number 123
_space_group_name_Hall '-P 4 2'
_cell_length_a 4.1498
_cell_length_b 4.1498
_cell_length_c 18.2054
_cell_angle_alpha 90.00
_cell_angle_beta 90.00
_cell_angle_gamma 90.00
loop_
_atom_site_label
_atom_site_type_symbol
_atom_site_fract_x
_atom_site_fract_y
_atom_site_fract_z
Sm1 Sm 0.0000 0.0000 0.1018
Sm2 Sm 0.0000 0.0000 0.3036
Dy1 Dy 0.5000 0.5000 0.0000
Dy2 Dy 0.5000 0.5000 0.2066
Dy3 Dy 0.5000 0.5000 0.4117
In1 In 0.0000 0.0000 0.5000
# total magnetic moment = 0.001 μB per formula unit
# calculated total energy = -44.48 eV per cell
# energy above the lowest structure with this stoichiometry = 0.000 eV/atom


# 3
# GGA-PBE Sm6Dy2In3, relaxed
data_Sm6Dy2In3
_space_group_name_H-M_alt 'I 4/m m m'
_space_group_IT_number 139
_space_group_name_Hall '-I 4 2'
_cell_length_a 5.4067
_cell_length_b 5.4067
_cell_length_c 24.5681
_cell_angle_alpha 90.00
_cell_angle_beta 90.00
_cell_angle_gamma 90.00
loop_
_atom_site_label
_atom_site_type_symbol
_atom_site_fract_x
_atom_site_fract_y
_atom_site_fract_z
Sm1 Sm 0.0000 0.0000 0.1974
Sm2 Sm 0.0000 0.5000 0.0996
Dy1 Dy 0.0000 0.0000 0.0578
In1 In 0.0000 0.0000 0.3255
In2 In 0.0000 0.0000 0.5000
# total magnetic moment = 0.000 μB per formula unit
# calculated total energy = -86.68 eV per cell


# 4
# GGA-PBE Sm12Dy7In, relaxed
data_Sm12Dy7In
_space_group_name_H-M_alt 'R -3'
_space_group_IT_number 148
_space_group_name_Hall '-R 3'
_cell_length_a 12.1990
_cell_length_b 12.1990
_cell_length_c 15.3664
_cell_angle_alpha 90.00
_cell_angle_beta 90.00
_cell_angle_gamma 120.00
loop_
_atom_site_label
_atom_site_type_symbol
_atom_site_fract_x
_atom_site_fract_y
_atom_site_fract_z
Sm1 Sm 0.0294 0.4503 0.2107
Sm2 Sm 0.0578 0.5881 0.5849
Dy1 Dy 0.0000 0.0000 0.0000
Dy2 Dy 0.0511 0.1855 0.3032
In1 In 0.0000 0.0000 0.5000
# total magnetic moment = 0.008 μB per formula unit
# calculated total energy = -265.52 eV per cell
# energy above the lowest structure with this stoichiometry = 0.000 eV/atom


# 5
# GGA-PBE Sm3Dy2In4, relaxed
data_Sm3Dy2In4
_space_group_name_H-M_alt 'C 1 2/m 1'
_space_group_IT_number 12
_cell_length_a 9.2456
_cell_length_b 5.3442
_cell_length_c 10.2973
_cell_angle_alpha 90.00
_cell_angle_beta 90.08
_cell_angle_gamma 90.00
loop_
_space_group_symop_operation_xyz
'x,y,z'
'-x,-y,-z'
'-x,y,-z'
'x,-y,z'
'x+1/2,y+1/2,z'
'-x+1/2,-y+1/2,-z'
'-x+1/2,y+1/2,-z'
'x+1/2,-y+1/2,z'
loop_
_atom_site_label
_atom_site_type_symbol
_atom_site_fract_x
_atom_site_fract_y
_atom_site_fract_z
Sm1 Sm 0.0000 0.0000 0.0000
Sm2 Sm 0.1666 0.5000 0.4226
Dy1 Dy 0.1668 0.5000 0.7780
In1 In 0.0000 0.0000 0.3452
In2 In 0.1665 0.5000 0.1001
# total magnetic moment = 0.000 μB per formula unit
# calculated total energy = -76.09 eV per cell
# energy above the lowest structure with this stoichiometry = 0.000 eV/atom


# 6
# GGA-PBE Sm2DyIn4, relaxed
data_Sm2DyIn4
_space_group_name_H-M_alt 'I 4/m m m'
_space_group_IT_number 139
_space_group_name_Hall '-I 4 2'
_cell_length_a 5.2863
_cell_length_b 5.2863
_cell_length_c 14.8172
_cell_angle_alpha 90.00
_cell_angle_beta 90.00
_cell_angle_gamma 90.00
loop_
_atom_site_label
_atom_site_type_symbol
_atom_site_fract_x
_atom_site_fract_y
_atom_site_fract_z
Sm1 Sm 0.0000 0.0000 0.2484
Dy1 Dy 0.0000 0.0000 0.5000
In1 In 0.0000 0.5000 0.1118
# total magnetic moment = 0.000 μB per formula unit
# calculated total energy = -54.51 eV per cell


# 7
# GGA-PBE Sm3Dy2In7, relaxed
data_Sm3Dy2In7
_space_group_name_H-M_alt 'C m m m'
_space_group_IT_number 65
_space_group_name_Hall '-C 2 2'
_cell_length_a 5.1838
_cell_length_b 25.2759
_cell_length_c 5.3927
_cell_angle_alpha 90.00
_cell_angle_beta 90.00
_cell_angle_gamma 90.00
loop_
_atom_site_label
_atom_site_type_symbol
_atom_site_fract_x
_atom_site_fract_y
_atom_site_fract_z
Sm1 Sm 0.0000 0.0000 0.0000
Sm2 Sm 0.0000 0.1567 0.0000
Dy1 Dy 0.0000 0.3541 0.5000
In1 In 0.0000 0.0746 0.5000
In2 In 0.0000 0.2258 0.5000
In3 In 0.0000 0.4207 0.0000
In4 In 0.0000 0.5000 0.5000
# total magnetic moment = 0.000 μB per formula unit
# calculated total energy = -90.40 eV per cell


# 8
# GGA-PBE Sm4Dy3In4, relaxed
data_Sm4Dy3In4
_space_group_name_H-M_alt 'I m m m'
_space_group_IT_number 71
_space_group_name_Hall '-I 2 2'
_cell_length_a 3.6366
_cell_length_b 9.4395
_cell_length_c 19.2485
_cell_angle_alpha 90.00
_cell_angle_beta 90.00
_cell_angle_gamma 90.00
loop_
_atom_site_label
_atom_site_type_symbol
_atom_site_fract_x
_atom_site_fract_y
_atom_site_fract_z
Sm1 Sm 0.0000 0.1792 0.1620
Dy1 Dy 0.0000 0.0000 0.4054
Dy2 Dy 0.0000 0.5000 0.5000
In1 In 0.0000 0.2809 0.0000
In2 In 0.0000 0.5000 0.2265
# total magnetic moment = 0.000 μB per formula unit
# calculated total energy = -94.02 eV per cell


# 9
# GGA-PBE Sm3DyIn3, relaxed
data_Sm3DyIn3
_space_group_name_H-M_alt 'P 21 3'
_space_group_IT_number 198
_space_group_name_Hall 'P 2ac 2ab 3'
_cell_length_a 9.4491
_cell_length_b 9.4491
_cell_length_c 9.4491
_cell_angle_alpha 90.00
_cell_angle_beta 90.00
_cell_angle_gamma 90.00
loop_
_atom_site_label
_atom_site_type_symbol
_atom_site_fract_x
_atom_site_fract_y
_atom_site_fract_z
Sm1 Sm 0.0709 0.4291 0.5709
Sm2 Sm 0.1730 0.8270 0.3270
Sm3 Sm 0.1754 0.1754 0.1754
Dy1 Dy 0.0765 0.5765 0.9235
In1 In 0.0018 0.2543 0.8707
# total magnetic moment = 0.000 μB per formula unit
# calculated total energy = -117.09 eV per cell
# energy above the lowest structure with this stoichiometry = 0.000 eV/atom


# 10
# GGA-PBE Sm9Dy4In11, relaxed
data_Sm9Dy4In11
_space_group_name_H-M_alt 'C m m m'
_space_group_IT_number 65
_space_group_name_Hall '-C 2 2'
_cell_length_a 17.9826
_cell_length_b 21.2978
_cell_length_c 3.5162
_cell_angle_alpha 90.00
_cell_angle_beta 90.00
_cell_angle_gamma 90.00
loop_
_atom_site_label
_atom_site_type_symbol
_atom_site_fract_x
_atom_site_fract_y
_atom_site_fract_z
Sm1 Sm 0.0000 0.0000 0.0000
Sm2 Sm 0.1161 0.2409 0.0000
Sm3 Sm 0.1206 0.4124 0.0000
Dy1 Dy 0.1528 0.0838 0.0000
In1 In 0.0000 0.1362 0.5000
In2 In 0.0000 0.3311 0.5000
In3 In 0.0000 0.5000 0.5000
In4 In 0.2362 0.5000 0.5000
In5 In 0.2434 0.3237 0.5000
# total magnetic moment = 0.000 μB per formula unit
# calculated total energy = -201.41 eV per cell


# 11
# GGA-PBE Sm2Dy6In, relaxed
data_Sm2Dy6In
_space_group_name_H-M_alt 'C 1 2/c 1'
_space_group_IT_number 15
_cell_length_a 9.2245
_cell_length_b 9.1464
_cell_length_c 13.8912
_cell_angle_alpha 90.00
_cell_angle_beta 107.23
_cell_angle_gamma 90.00
loop_
_space_group_symop_operation_xyz
'x,y,z'
'-x,-y,-z'
'-x,y,-z+1/2'
'x,-y,z+1/2'
'x+1/2,y+1/2,z'
'-x+1/2,-y+1/2,-z'
'-x+1/2,y+1/2,-z+1/2'
'x+1/2,-y+1/2,z+1/2'
loop_
_atom_site_label
_atom_site_type_symbol
_atom_site_fract_x
_atom_site_fract_y
_atom_site_fract_z
Sm1 Sm 0.2032 0.1632 0.3045
Dy1 Dy 0.0085 0.3293 0.4567
Dy2 Dy 0.1209 0.1935 0.8634
Dy3 Dy 0.1735 0.0109 0.5788
In1 In 0.0000 0.4912 0.2500
# total magnetic moment = 0.000 μB per formula unit
# calculated total energy = -160.17 eV per cell
# energy above the lowest structure with this stoichiometry = 0.000 eV/atom


# 12
# GGA-PBE Sm2Dy3In2, relaxed
data_Sm2Dy3In2
_space_group_name_H-M_alt 'C m m m'
_space_group_IT_number 65
_space_group_name_Hall '-C 2 2'
_cell_length_a 4.7921
_cell_length_b 24.4517
_cell_length_c 3.4559
_cell_angle_alpha 90.00
_cell_angle_beta 90.00
_cell_angle_gamma 90.00
loop_
_atom_site_label
_atom_site_type_symbol
_atom_site_fract_x
_atom_site_fract_y
_atom_site_fract_z
Sm1 Sm 0.0000 0.2128 0.0000
Dy1 Dy 0.0000 0.3623 0.5000
Dy2 Dy 0.0000 0.5000 0.5000
In1 In 0.0000 0.0707 0.0000
# total magnetic moment = 0.323 μB per formula unit
# calculated total energy = -59.60 eV per cell
# energy above the lowest structure with this stoichiometry = 0.120 eV/atom